(1)
RbHgPO4 | the Open Quantum Materials Database | PBE-GGA | relaxed; V = 15.89 Å³ per atom; DFT total energy = -38.139 eV per formula unit; space group = Cmcm, No. 63
1.0
-5.865 1.003 -1.286
3.157 -1.944 -4.828
-1.397 -6.157 1.565
Hg O P Rb
2 8 2 2
direct
0.826 0.174 0.250 Hg
0.174 0.826 0.750 Hg
0.230 0.770 0.063 O
0.229 0.143 0.250 O
0.857 0.771 0.250 O
0.230 0.770 0.437 O
0.770 0.230 0.563 O
0.143 0.229 0.750 O
0.771 0.857 0.750 O
0.770 0.230 0.937 O
0.130 0.870 0.250 P
0.870 0.130 0.750 P
0.500 0.500 0.000 Rb
0.500 0.500 0.500 Rb



(2)
RbHgPO | the Open Quantum Materials Database | PBE-GGA | relaxed; polymorph energy (0 for the lowest one) = 619 meV per atom; V = 26.19 Å³ per atom; space group = P4/nmm, No. 129
1.0
-3.911 -1.500 -1.130
1.184 -3.996 1.206
-3.741 1.998 10.294
Hg O P Rb
2 2 2 2
direct
0.500 0.000 0.500 Hg
0.000 0.500 0.500 Hg
0.500 0.000 0.000 O
0.000 0.500 0.000 O
0.500 0.500 0.360 P
0.000 0.000 0.640 P
0.000 0.000 0.149 Rb
0.500 0.500 0.851 Rb



(3)
RbHgPO | the Open Quantum Materials Database | PBE-GGA | relaxed; polymorph energy (0 for the lowest one) = 366 meV per atom; V = 25.47 Å³ per atom; space group = Pmc2_1, No. 26
1.0
3.301 0.000 0.000
0.000 7.998 0.000
0.000 0.000 7.719
Hg O P Rb
2 2 2 2
direct
0.000 0.146 0.459 Hg
0.000 0.854 0.959 Hg
0.500 0.334 0.425 O
0.500 0.666 0.925 O
0.000 0.887 0.290 P
0.000 0.113 0.790 P
0.500 0.376 0.081 Rb
0.500 0.624 0.581 Rb



(4)
ReHgPO | the Open Quantum Materials Database | PBE-GGA | relaxed; polymorph energy (0 for the lowest one) = 296 meV per atom; V = 19.53 Å³ per atom; space group = Pmc2_1, No. 26
1.0
6.250 0.000 0.000
0.000 3.765 0.000
-0.001 0.000 6.639
Hg O P Re
2 2 2 2
direct
0.998 0.500 0.154 Hg
0.498 0.500 0.846 Hg
0.539 0.500 0.271 O
0.039 0.500 0.729 O
0.182 0.000 0.400 P
0.682 0.000 0.600 P
0.526 0.000 0.293 Re
0.027 0.000 0.707 Re



(5)
ReHgPO | the Open Quantum Materials Database | PBE-GGA | relaxed; polymorph energy (0 for the lowest one) = 874 meV per atom; V = 17.17 Å³ per atom; space group = P4/nmm, No. 129
1.0
3.943 0.000 0.000
0.000 3.943 0.000
0.000 0.000 8.836
Hg O P Re
2 2 2 2
direct
0.000 0.000 0.500 Hg
0.500 0.500 0.500 Hg
0.000 0.000 0.000 O
0.500 0.500 0.000 O
0.500 0.000 0.193 P
0.000 0.500 0.807 P
0.000 0.500 0.086 Re
0.500 0.000 0.914 Re



(6)
ReHgPO | the Open Quantum Materials Database | PBE-GGA | relaxed; polymorph energy (0 for the lowest one) = 0 meV per atom; V = 18.75 Å³ per atom; space group = Pmc2_1, No. 26
1.0
3.060 0.000 0.000
0.000 6.687 0.000
0.000 0.000 7.330
Hg O P Re
2 2 2 2
direct
0.000 0.335 0.059 Hg
0.000 0.665 0.559 Hg
0.500 0.955 0.257 O
0.500 0.045 0.757 O
0.000 0.299 0.438 P
0.000 0.701 0.938 P
0.500 0.048 0.500 Re
0.500 0.952 0.000 Re



(7)
ReHgPO | the Open Quantum Materials Database | PBE-GGA | relaxed; polymorph energy (0 for the lowest one) = 577 meV per atom; V = 16.25 Å³ per atom; space group = P4/nmm, No. 129
1.0
4.193 0.000 0.000
0.000 4.193 0.000
0.000 0.000 7.395
Hg O P Re
2 2 2 2
direct
0.000 0.500 0.130 Hg
0.500 0.000 0.870 Hg
0.000 0.000 0.000 O
0.500 0.500 0.000 O
0.500 0.000 0.357 P
0.000 0.500 0.643 P
0.000 0.000 0.500 Re
0.500 0.500 0.500 Re



(8)
HgSbPO | the Open Quantum Materials Database | PBE-GGA | relaxed; polymorph energy (0 for the lowest one) = 463 meV per atom; V = 23.04 Å³ per atom; space group = P4/nmm, No. 129
1.0
-1.940 2.340 -3.609
3.257 -1.788 -2.910
-4.930 -6.468 -1.544
Hg O P Sb
2 2 2 2
direct
0.500 0.000 0.002 Hg
0.000 0.500 0.998 Hg
0.000 0.000 0.000 O
0.500 0.500 0.000 O
0.500 0.000 0.353 P
0.000 0.500 0.647 P
0.000 0.000 0.500 Sb
0.500 0.500 0.500 Sb



(9)
HgSbPO | the Open Quantum Materials Database | PBE-GGA | relaxed; polymorph energy (0 for the lowest one) = 0 meV per atom; V = 20.30 Å³ per atom; space group = Pmc2_1, No. 26
1.0
4.399 0.000 0.000
0.000 6.135 0.000
0.000 0.000 6.017
Hg O P Sb
2 2 2 2
direct
0.500 0.792 0.003 Hg
0.500 0.208 0.503 Hg
0.500 0.801 0.424 O
0.500 0.199 0.924 O
0.000 0.342 0.373 P
0.000 0.658 0.873 P
0.000 0.760 0.453 Sb
0.000 0.240 0.953 Sb



(10)
HgSbPO | the Open Quantum Materials Database | PBE-GGA | relaxed; polymorph energy (0 for the lowest one) = 7 meV per atom; V = 22.61 Å³ per atom; space group = Pmc2_1, No. 26
1.0
3.759 0.000 0.000
0.000 7.246 0.000
0.000 0.000 6.641
Hg O P Sb
2 2 2 2
direct
0.000 0.856 0.010 Hg
0.000 0.144 0.510 Hg
0.500 0.241 0.311 O
0.500 0.759 0.811 O
0.000 0.813 0.381 P
0.000 0.187 0.881 P
0.500 0.374 0.052 Sb
0.500 0.626 0.552 Sb



(11)
HgSbPO | the Open Quantum Materials Database | PBE-GGA | relaxed; polymorph energy (0 for the lowest one) = 92 meV per atom; V = 18.34 Å³ per atom; space group = P4/nmm, No. 129
1.0
-1.196 -3.175 -2.190
3.437 0.163 -2.113
3.899 -5.548 5.914
Hg O P Sb
2 2 2 2
direct
0.500 0.000 0.500 Hg
0.000 0.500 0.500 Hg
0.500 0.000 0.000 O
0.000 0.500 0.000 O
0.500 0.500 0.293 P
0.000 0.000 0.707 P
0.000 0.000 0.126 Sb
0.500 0.500 0.874 Sb



(12)
SiHgPO | the Open Quantum Materials Database | PBE-GGA | relaxed; polymorph energy (0 for the lowest one) = 1046 meV per atom; V = 19.66 Å³ per atom; space group = P4/nmm, No. 129
1.0
4.333 0.000 0.000
0.000 4.333 0.000
0.000 0.000 8.378
Hg O P Si
2 2 2 2
direct
0.000 0.500 0.078 Hg
0.500 0.000 0.922 Hg
0.000 0.000 0.000 O
0.500 0.500 0.000 O
0.500 0.000 0.378 P
0.000 0.500 0.622 P
0.000 0.000 0.500 Si
0.500 0.500 0.500 Si